VASP calculation (PBE) on a relaxed structure of Dy3YTl4S8.

Values from the calculation:
M_tot ... 0.000 μB/cell
E_form (uncorrected) ... -1.491 eV/atom

Unit cell a=8.0646 b=8.0646 c=22.5589 alpha=90.00 beta=90.00 gamma=120.00
Space group R-3m (No. 166, hexagonal axes)
Inequivalent atoms, fractional coordinates:
1 Dy 0.0000 0.5000 0.0000 [9 per cell]
2 Y 0.0000 0.0000 0.0000 [3 per cell]
3 Tl 0.0000 0.0000 0.5000 [3 per cell]
4 Tl 0.0000 0.5000 0.5000 [9 per cell]
5 S 0.0000 0.0000 0.2674 [6 per cell]
6 S 0.0004 0.5002 0.2673 [18 per cell]

***

VASP calculation (PBE) on a relaxed structure of DyTlZnS3.

Values from the calculation:
M_tot ... 0.000 μB/cell
E_form (uncorrected) ... -1.211 eV/atom

Unit cell a=8.8278 b=3.9891 c=9.4695 alpha=90.00 beta=107.54 gamma=90.00
Space group P2_1/m (No. 11)
Inequivalent atoms, fractional coordinates:
1 Dy 0.1694 0.2500 0.1434 [2 per cell]
2 Tl 0.2909 0.7500 0.7825 [2 per cell]
3 Zn 0.4187 0.7500 0.3909 [2 per cell]
4 S 0.0391 0.2500 0.8455 [2 per cell]
5 S 0.3054 0.2500 0.4608 [2 per cell]
6 S 0.3826 0.7500 0.1375 [2 per cell]

***

VASP calculation (PBE) on a relaxed structure of DyZrTl2S4.

Values from the calculation:
M_tot ... 0.000 μB/cell
E_form (uncorrected) ... -1.277 eV/atom

Unit cell a=6.6733 b=3.7947 c=8.2939 alpha=90.00 beta=103.54 gamma=90.00
Space group P2/m (No. 10)
Inequivalent atoms, fractional coordinates:
1 Dy 0.0000 0.0000 0.0000 [1 per cell]
2 Zr 0.5000 0.5000 0.0000 [1 per cell]
3 Tl 0.0000 0.5000 0.5000 [1 per cell]
4 Tl 0.5000 0.0000 0.5000 [1 per cell]
5 S 0.2391 0.5000 0.1888 [2 per cell]
6 S 0.2909 0.0000 0.8163 [2 per cell]

***

VASP calculation (PBE) on a relaxed structure of Dy5TmS6.

Values from the calculation:
M_tot ... 0.000 μB/cell
E_form (uncorrected) ... -1.986 eV/atom

Unit cell a=6.7428 b=11.7099 c=6.7338 alpha=90.00 beta=109.66 gamma=90.00
Space group C2/m (No. 12)
Inequivalent atoms, fractional coordinates:
1 Dy 0.0000 0.0000 0.0000 [2 per cell]
2 Dy 0.0000 0.1672 0.5000 [4 per cell]
3 Dy 0.0000 0.3313 0.0000 [4 per cell]
4 Tm 0.0000 0.5000 0.5000 [2 per cell]
5 S 0.2474 0.3353 0.7476 [8 per cell]
6 S 0.2468 0.5000 0.2512 [4 per cell]

***

VASP calculation (PBE) on a relaxed structure of Dy2TmS.

Values from the calculation:
M_tot ... 0.119 μB/cell
E_form (uncorrected) ... -0.705 eV/atom

Unit cell a=3.6457 b=3.6457 c=29.7905 alpha=90.00 beta=90.00 gamma=120.00
Space group R-3m (No. 166, hexagonal axes)
Inequivalent atoms, fractional coordinates:
1 Dy 0.0000 0.0000 0.1113 [6 per cell]
2 Tm 0.0000 0.0000 0.0000 [3 per cell]
3 S 0.0000 0.0000 0.5000 [3 per cell]

***

VASP calculation (PBE) on a relaxed structure of DyTmS2.

Values from the calculation:
M_tot ... 0.000 μB/cell
Distance to the lowest polymorph of the same formula ... 0.000 eV per formula unit
E_form (uncorrected) ... -1.964 eV/atom

Unit cell a=6.6985 b=3.8823 c=6.7066 alpha=90.00 beta=109.62 gamma=90.00
Space group C2/m (No. 12)
Inequivalent atoms, fractional coordinates:
1 Dy 0.0000 0.0000 0.0000 [2 per cell]
2 Tm 0.0000 0.5000 0.5000 [2 per cell]
3 S 0.2479 0.0000 0.7436 [4 per cell]

***

VASP calculation (PBE) on a relaxed structure of Dy2Tm3S6.

Values from the calculation:
M_tot ... 0.000 μB/cell
E_form (uncorrected) ... -2.060 eV/atom

Unit cell a=6.7039 b=11.5635 c=6.6853 alpha=90.00 beta=109.46 gamma=90.00
Space group C2/m (No. 12)
Inequivalent atoms, fractional coordinates:
1 Dy 0.0000 0.1653 0.0000 [4 per cell]
2 Tm 0.0000 0.0000 0.5000 [2 per cell]
3 Tm 0.0000 0.3366 0.5000 [4 per cell]
4 S 0.2470 0.5000 0.7494 [4 per cell]
5 S 0.2487 0.1663 0.7445 [8 per cell]

***

VASP calculation (PBE) on a relaxed structure of Dy2TmS4.

Values from the calculation:
M_tot ... 0.000 μB/cell
Distance to the lowest polymorph of the same formula ... 0.000 eV per formula unit
E_form (uncorrected) ... -2.062 eV/atom

Unit cell a=7.7920 b=7.8223 c=10.8489 alpha=90.00 beta=90.00 gamma=90.00
Space group Imma (No. 74)
Inequivalent atoms, fractional coordinates:
1 Dy 0.0000 0.0000 0.0000 [4 per cell]
2 Dy 0.2500 0.2500 0.2500 [4 per cell]
3 Tm 0.2500 0.2500 0.7500 [4 per cell]
4 S 0.0000 0.0034 0.7466 [8 per cell]
5 S 0.2440 0.2500 0.9983 [8 per cell]

***

Q: The highest M_tot belongs to which entry?
A: Dy2TmS

***

Q: Look up the M_tot of the third one.
A: 0.000 μB/cell

***

Q: Look up the M_tot of the second one.
A: 0.000 μB/cell